The following is a DFT calculation (PBE-GGA) of a geometry-optimized KSm2PdO5 structure.

Calculated values
- N(E_F): 0.549 states/eV per atom
- Raw formation energy: -2106.5 meV per atom
- Crystal system: tetragonal
- Total moment: 0.11 μB per atom

Unit cell a=6.725 b=6.725 c=12.091 alpha=90.00 beta=90.00 gamma=90.00
Space group I4/mcm (No. 140)
Inequivalent atoms, fractional coordinates:
K: 0.000 0.000 0.250 (multiplicity 4)
Sm: 0.174 0.326 0.000 (multiplicity 8)
Pd: 0.000 0.500 0.250 (multiplicity 4)
O: 0.000 0.000 0.000 (multiplicity 4)
O: 0.132 0.368 0.382 (multiplicity 16)